No. 1
Density functional theory data (PBE-GGA) for a relaxed structure of NaHf2Fe2.

abc: 4.3411 4.3411 6.0182
angles: 68.86 68.86 90.00
With the nearest neighbours (Å) after each atom.
Sites, in units of the cell vectors:
Na 0.0000 0.0000 0.0000  8 Fe 3.27, 8 Hf 3.38
Hf 0.7500 0.2500 0.5000  4 Fe 2.62
Fe 0.3915 0.3915 0.2171  1 Fe 2.25
Fe 0.6085 0.6085 0.7829  1 Fe 2.25
Hf 0.2500 0.7500 0.5000  4 Fe 2.62

Values from the calculation:
spin magnetization = 1.20 μB per formula unit
energy = -35.89 eV/cell
ΔE_f = 0.453 eV/atom

***

No. 2
Density functional theory data (PBE-GGA) for a relaxed structure of Ga3Sn8Pb3.

abc: 5.2665 8.9802 8.9802
angles: 74.76 72.95 72.95
With the nearest neighbours (Å) after each atom.
Sites, in units of the cell vectors:
Sn 0.8752 0.7667 0.4829  1 Ga 3.03, 5 Sn 3.09-3.31
Ga 0.5000 0.0000 0.0000  4 Sn 2.94, 4 Ga 2.97
Sn 0.3529 0.9451 0.3490  1 Ga 2.94, 3 Sn 3.10-3.15
Sn 0.6471 0.0549 0.6510  1 Ga 2.94, 3 Sn 3.10-3.15
Sn 0.3529 0.3490 0.9451  1 Ga 2.94, 3 Sn 3.10-3.15
Sn 0.1248 0.5171 0.2333  1 Ga 3.03, 5 Sn 3.09-3.31
Sn 0.6471 0.6510 0.0549  1 Ga 2.94, 3 Sn 3.10-3.15
Sn 0.8752 0.4829 0.7667  1 Ga 3.03, 5 Sn 3.09-3.31
Pb 0.2266 0.7734 0.7734  2 Ga 3.30, 10 Sn 3.59-3.66, 1 Pb 3.63
Pb 0.5000 0.5000 0.5000  12 Sn 3.47-3.79, 2 Pb 3.63
Ga 0.0000 0.8745 0.1255  3 Ga 2.74-2.97, 2 Sn 3.03
Sn 0.1248 0.2333 0.5171  1 Ga 3.03, 5 Sn 3.09-3.31
Ga 0.0000 0.1255 0.8745  3 Ga 2.74-2.97, 2 Sn 3.03
Pb 0.7734 0.2266 0.2266  2 Ga 3.30, 10 Sn 3.59-3.66, 1 Pb 3.63

Values from the calculation:
spin magnetization = 0.00 μB per formula unit
energy = -51.39 eV/cell
ΔE_f = 0.060 eV/atom

***

No. 3
Density functional theory data (PBE-GGA) for a relaxed structure of MnZnCl5.

abc: 7.1952 8.3876 14.0578
angles: 90.00 90.00 90.00
With the nearest neighbours (Å) after each atom.
Sites, in units of the cell vectors:
Mn 0.7500 0.3417 0.9418  6 Cl 2.33-2.44
Cl 0.7500 0.5116 0.8107  1 Mn 2.33, 1 Zn 2.39
Cl 0.7500 0.2253 0.0952  1 Zn 2.28, 1 Mn 2.37
Cl 0.0318 0.6509 0.6264  1 Zn 2.26, 1 Mn 2.44
Cl 0.0318 0.8491 0.1264  1 Zn 2.26, 1 Mn 2.44
Cl 0.2500 0.0116 0.6893  1 Mn 2.33, 1 Zn 2.39
Cl 0.4682 0.8491 0.1264  1 Zn 2.26, 1 Mn 2.44
Cl 0.5000 0.0000 0.5000  2 Mn 2.38
Cl 0.0000 0.5000 0.0000  2 Mn 2.38
Mn 0.2500 0.6583 0.0582  6 Cl 2.33-2.44
Cl 0.2500 0.7253 0.4048  1 Zn 2.28, 1 Mn 2.37
Cl 0.4682 0.6509 0.6264  1 Zn 2.26, 1 Mn 2.44
Zn 0.7500 0.9643 0.1410  4 Cl 2.26-2.39
Cl 0.9682 0.3491 0.3736  1 Zn 2.26, 1 Mn 2.44
Cl 0.2500 0.7747 0.9048  1 Zn 2.28, 1 Mn 2.37
Zn 0.7500 0.5357 0.6410  4 Cl 2.26-2.39
Cl 0.7500 0.9884 0.3107  1 Mn 2.33, 1 Zn 2.39
Cl 0.2500 0.4884 0.1893  1 Mn 2.33, 1 Zn 2.39
Cl 0.5318 0.3491 0.3736  1 Zn 2.26, 1 Mn 2.44
Cl 0.5318 0.1509 0.8736  1 Zn 2.26, 1 Mn 2.44
Cl 0.9682 0.1509 0.8736  1 Zn 2.26, 1 Mn 2.44
Cl 0.0000 0.0000 0.5000  2 Mn 2.38
Mn 0.7500 0.1583 0.4418  6 Cl 2.33-2.44
Cl 0.5000 0.5000 0.0000  2 Mn 2.38
Zn 0.2500 0.0357 0.8590  4 Cl 2.26-2.39
Zn 0.2500 0.4643 0.3590  4 Cl 2.26-2.39
Mn 0.2500 0.8417 0.5582  6 Cl 2.33-2.44
Cl 0.7500 0.2747 0.5952  1 Zn 2.28, 1 Mn 2.37

Values from the calculation:
E_form (uncorrected) = -909 meV per atom
spin magnetization = 4.00 μB per formula unit
energy = -104.16 eV/cell

***

No. 4
Density functional theory data (PBE-GGA) for a relaxed structure of Y2PtAu2.

abc: 7.6916 7.6916 4.0392
angles: 90.00 90.00 90.00
With the nearest neighbours (Å) after each atom.
Sites, in units of the cell vectors:
Pt 0.5000 0.5000 0.0000  4 Y 2.86
Au 0.6309 0.8691 0.5000  1 Au 2.85, 6 Y 2.96-3.09
Y 0.6701 0.1701 0.0000  2 Pt 2.86, 6 Au 2.96-3.09
Y 0.1701 0.3299 0.0000  2 Pt 2.86, 6 Au 2.96-3.09
Au 0.1309 0.6309 0.5000  1 Au 2.85, 6 Y 2.96-3.09
Pt 0.0000 0.0000 0.0000  4 Y 2.86
Au 0.3691 0.1309 0.5000  1 Au 2.85, 6 Y 2.96-3.09
Au 0.8691 0.3691 0.5000  1 Au 2.85, 6 Y 2.96-3.09
Y 0.3299 0.8299 0.0000  2 Pt 2.86, 6 Au 2.96-3.09
Y 0.8299 0.6701 0.0000  2 Pt 2.86, 6 Au 2.96-3.09

Values from the calculation:
spin magnetization = 0.00 μB per formula unit
energy = -57.71 eV/cell
ΔE_f = -0.666 eV/atom

***

No. 5
Density functional theory data (PBE-GGA) for a relaxed structure of Tb6PmPr2Y.

abc: 9.8220 8.8615 8.8615
angles: 118.42 94.66 94.66
With the nearest neighbours (Å) after each atom.
Sites, in units of the cell vectors:
Tb 0.5569 0.7438 0.1254  8 Tb 3.42-3.81, 1 Pr 3.51, 1 Y 3.69, 1 Pm 3.78
Pr 0.5410 0.1889 0.2958  6 Tb 3.30-3.69, 2 Y 3.36-3.41, 1 Pm 3.63
Tb 0.8799 0.2915 0.4997  4 Tb 3.26-3.56, 3 Pr 3.30-3.48, 2 Pm 3.47-3.61
Tb 0.8127 0.4215 0.9735  3 Tb 3.26-3.62, 1 Pr 3.41, 1 Pm 3.52, 1 Y 3.63
Tb 0.4431 0.2562 0.8746  8 Tb 3.42-3.81, 1 Pr 3.51, 1 Y 3.69, 1 Pm 3.78
Y 0.7500 0.0170 0.9830  4 Pr 3.36-3.41, 4 Tb 3.63-3.69
Tb 0.6201 0.5003 0.7085  4 Tb 3.26-3.56, 3 Pr 3.30-3.48, 2 Pm 3.47-3.61
Pr 0.9590 0.7042 0.8111  6 Tb 3.30-3.69, 2 Y 3.36-3.41, 1 Pm 3.63
Tb 0.1201 0.7085 0.5003  4 Tb 3.26-3.56, 3 Pr 3.30-3.48, 2 Pm 3.47-3.61
Pm 0.7500 0.5942 0.4058  8 Tb 3.47-3.78, 2 Pr 3.63
Pr 0.4590 0.8111 0.7042  6 Tb 3.30-3.69, 2 Y 3.36-3.41, 1 Pm 3.63
Y 0.2500 0.9830 0.0170  4 Pr 3.36-3.41, 4 Tb 3.63-3.69
Tb 0.6873 0.0265 0.5785  3 Tb 3.26-3.62, 1 Pr 3.41, 1 Pm 3.52, 1 Y 3.63
Tb 0.3127 0.9735 0.4215  3 Tb 3.26-3.62, 1 Pr 3.41, 1 Pm 3.52, 1 Y 3.63
Tb 0.3799 0.4997 0.2915  4 Tb 3.26-3.56, 3 Pr 3.30-3.48, 2 Pm 3.47-3.61
Tb 0.1873 0.5785 0.0265  3 Tb 3.26-3.62, 1 Pr 3.41, 1 Pm 3.52, 1 Y 3.63
Tb 0.0569 0.1254 0.7438  8 Tb 3.42-3.81, 1 Pr 3.51, 1 Y 3.69, 1 Pm 3.78
Pm 0.2500 0.4058 0.5942  8 Tb 3.47-3.78, 2 Pr 3.63
Pr 0.0410 0.2958 0.1889  6 Tb 3.30-3.69, 2 Y 3.36-3.41, 1 Pm 3.63
Tb 0.9431 0.8746 0.2562  8 Tb 3.42-3.81, 1 Pr 3.51, 1 Y 3.69, 1 Pm 3.78

Values from the calculation:
spin magnetization = 0.00 μB per formula unit
energy = -94.75 eV/cell
ΔE_f = 0.118 eV/atom

***

No. 6
Density functional theory data (PBE-GGA) for a relaxed structure of BeSbAu.

abc: 4.2561 4.2416 8.8142
angles: 90.00 90.00 120.11
With the nearest neighbours (Å) after each atom.
Sites, in units of the cell vectors:
Be 0.5981 0.1962 0.2501  2 Au 2.36, 3 Sb 2.41-2.53
Au 0.4826 0.9651 0.0000  2 Be 2.36
Au 0.4818 0.9636 0.5000  2 Be 2.36
Sb 0.2530 0.5060 0.2497  3 Be 2.41-2.53
Be 0.5981 0.1962 0.7499  2 Au 2.36, 3 Sb 2.41-2.53
Sb 0.2530 0.5060 0.7503  3 Be 2.41-2.53

Values from the calculation:
E_form (uncorrected) = 111 meV per atom
spin magnetization = 0.00 μB per formula unit
energy = -21.58 eV/cell

***

No. 7
Density functional theory data (PBE-GGA) for a relaxed structure of GaFe3H.

abc: 4.7343 5.0930 4.7335
angles: 84.98 64.93 95.02
With the nearest neighbours (Å) after each atom.
Sites, in units of the cell vectors:
H 0.8597 0.3605 0.3527  3 Fe 1.68-1.78
Fe 0.0961 0.6239 0.0460  2 H 1.78-1.94
Ga 0.5706 0.3605 0.0635  2 H 2.31, 4 Fe 2.54-2.55
Fe 0.5702 0.8605 0.0639  4 Fe 2.49, 4 Ga 2.54-2.55
Fe 0.5880 0.6239 0.5383  2 H 1.78-1.94
Fe 0.0707 0.3611 0.5633  2 H 1.68
Fe 0.5529 0.0975 0.5893  2 H 1.78-1.94
H 0.2811 0.3606 0.7745  3 Fe 1.68-1.78
Ga 0.0703 0.8610 0.5638  12 Fe 2.54-2.79
Fe 0.0447 0.0973 0.0813  2 H 1.78-1.94

Values from the calculation:
spin magnetization = 6.68 μB per formula unit
energy = -64.01 eV/cell

***

No. 8
Density functional theory data (PBE-GGA) for a relaxed structure of Zr2AlP.

abc: 3.6093 3.6093 7.4255
angles: 75.91 75.91 59.99
With the nearest neighbours (Å) after each atom.
Sites, in units of the cell vectors:
Zr 0.9876 0.9876 0.0376  3 P 2.58
Zr 0.5124 0.5124 0.4624  3 P 2.58
Al 0.7500 0.7500 0.7500  6 Zr 2.92
P 0.2500 0.2500 0.2500  6 Zr 2.58

Values from the calculation:
spin magnetization = 0.00 μB per formula unit
energy = -29.45 eV/cell
ΔE_f = -0.799 eV/atom

***

No. 9
Density functional theory data (PBE-GGA) for a relaxed structure of La2NiSe.

abc: 3.6573 3.7021 7.7692
angles: 69.66 90.00 90.00
With the nearest neighbours (Å) after each atom.
Sites, in units of the cell vectors:
La 0.0000 0.0523 0.0133  2 Ni 2.86
Ni 0.5000 0.2500 0.2500  4 La 2.86
La 0.0000 0.4477 0.4867  2 Ni 2.86
Se 0.5000 0.7500 0.7500  8 La 3.22-3.24

Values from the calculation:
E_form (uncorrected) = -916 meV per atom
spin magnetization = 0.00 μB per formula unit
energy = -22.78 eV/cell

***

No. 10
Density functional theory data (PBE-GGA) for a relaxed structure of Hf2RhAu6.

abc: 3.8705 6.8336 6.8801
angles: 111.06 106.34 90.00
With the nearest neighbours (Å) after each atom.
Sites, in units of the cell vectors:
Au 0.6033 0.1617 0.2066  6 Au 2.79-3.10, 4 Hf 2.94-2.99, 1 Rh 3.09
Au 0.2764 0.1654 0.5528  8 Au 2.86-3.19, 3 Hf 2.88-3.02, 1 Rh 2.98
Au 0.3967 0.8383 0.7934  6 Au 2.79-3.10, 4 Hf 2.94-2.99, 1 Rh 3.09
Rh 0.5000 0.5000 0.0000  4 Hf 2.74, 6 Au 2.89-2.98
Hf 0.0568 0.8056 0.1136  2 Rh 2.74, 9 Au 2.86-3.02
Au 0.7236 0.8346 0.4472  8 Au 2.86-3.19, 3 Hf 2.88-3.02, 1 Rh 2.98
Hf 0.9432 0.1944 0.8864  2 Rh 2.74, 9 Au 2.86-3.02
Au 0.8380 0.5012 0.6761  2 Hf 2.86-2.92, 8 Au 2.88-3.17, 2 Rh 2.89
Au 0.1620 0.4988 0.3239  2 Hf 2.86-2.92, 8 Au 2.88-3.17, 2 Rh 2.89

Values from the calculation:
spin magnetization = 0.00 μB per formula unit
energy = -51.02 eV/cell
ΔE_f = -0.455 eV/atom

***

No. 11
Density functional theory data (PBE-GGA) for a relaxed structure of Tb2Be3AlAu4.

abc: 4.2925 4.2925 9.4872
angles: 90.00 90.00 90.00
With the nearest neighbours (Å) after each atom.
Sites, in units of the cell vectors:
Au 0.0000 0.5000 0.3586  3 Be 2.32-2.53, 2 Al 2.53
Be 0.5000 0.0000 0.8859  5 Au 2.32-2.40
Tb 0.0000 0.5000 0.7515  8 Au 3.19-3.21, 2 Al 3.21, 7 Be 3.21-3.44
Al 0.5000 0.5000 0.5000  4 Au 2.53
Be 0.0000 0.5000 0.1141  5 Au 2.32-2.40
Au 0.0000 0.0000 0.0000  4 Be 2.40
Au 0.5000 0.5000 0.0000  4 Be 2.40
Tb 0.5000 0.0000 0.2485  8 Au 3.19-3.21, 7 Be 3.21-3.44, 2 Al 3.21
Au 0.5000 0.0000 0.6414  3 Be 2.32-2.53, 2 Al 2.53
Be 0.0000 0.0000 0.5000  4 Au 2.53

Values from the calculation:
spin magnetization = 0.00 μB per formula unit
energy = -42.54 eV/cell
ΔE_f = -0.524 eV/atom

***

No. 12
Density functional theory data (PBE-GGA) for a relaxed structure of Tb8Pr3Sc.

abc: 8.3955 8.3955 8.3955
angles: 94.94 117.19 117.19
With the nearest neighbours (Å) after each atom.
Sites, in units of the cell vectors:
Pr 0.5000 0.7500 0.2500  4 Tb 3.46
Tb 0.0000 0.8861 0.6351  3 Tb 3.11-3.29, 1 Sc 3.13, 3 Pr 3.34-3.46
Pr 0.0000 0.5000 0.5000  8 Tb 3.31-3.34
Tb 0.0000 0.6351 0.8861  3 Tb 3.11-3.29, 1 Sc 3.13, 3 Pr 3.34-3.46
Tb 0.0000 0.7919 0.2592  1 Sc 2.91, 1 Tb 3.19
Tb 0.5327 0.7408 0.7408  1 Sc 2.91, 1 Tb 3.19
Tb 0.0000 0.2592 0.7919  1 Sc 2.91, 1 Tb 3.19
Tb 0.4673 0.2081 0.2081  1 Sc 2.91, 1 Tb 3.19
Tb 0.2510 0.3649 0.3649  3 Tb 3.11-3.29, 1 Sc 3.13, 3 Pr 3.34-3.46
Pr 0.5000 0.2500 0.7500  4 Tb 3.46
Tb 0.7490 0.1139 0.1139  3 Tb 3.11-3.29, 1 Sc 3.13, 3 Pr 3.34-3.46
Sc 0.0000 0.0000 0.0000  8 Tb 2.91-3.13

Values from the calculation:
spin magnetization = 0.00 μB per formula unit
energy = -50.86 eV/cell
ΔE_f = 0.571 eV/atom

***

Q: The highest spin magnetization belongs to which entry?
A: GaFe3H